1.
This record from Alexandria describes a relaxed Ta2AlPt crystal. The functional is GGA-PBEsol.

Unit cell a=10.1381 b=10.1381 c=10.1381 alpha=158.55 beta=158.55 gamma=30.52
Atoms (fractional coordinates):
Ta 0.1197 0.6250 0.9947
Ta 0.3750 0.3697 0.4947
Ta 0.6303 0.1250 0.0053
Ta 0.8750 0.8803 0.5053
Al 0.0000 0.0000 0.0000
Al 0.7500 0.2500 0.5000
Pt 0.2500 0.7500 0.5000
Pt 0.5000 0.5000 0.0000

Calculated values
Formation energy from the elements: 0.49 eV/f.u.
Size of the total moment: 0.000 μB/atom

---

2.
This record from Alexandria describes a relaxed RbSr2NbN crystal. The functional is GGA-PBEsol.

Unit cell a=6.6344 b=6.6344 c=4.0567 alpha=90.00 beta=90.00 gamma=90.00
Atoms (fractional coordinates):
Rb 0.0000 0.0000 0.0000
Sr 0.0000 0.5000 0.5000
Sr 0.5000 0.0000 0.5000
Nb 0.5000 0.5000 0.5000
N 0.5000 0.5000 0.0000

Calculated values
Formation energy without anion corrections: 0.57 eV per atom
Size of the total moment: 0.143 μB/atom

---

3.
This record from Alexandria describes a relaxed BaLaTeI2 crystal. The functional is GGA-PBEsol.

Unit cell a=6.0570 b=6.0570 c=6.1291 alpha=90.00 beta=90.00 gamma=90.00
Atoms (fractional coordinates):
Ba 0.0000 0.0000 0.0000
La 0.5000 0.5000 0.5000
Te 0.5000 0.5000 0.0000
I 0.0000 0.5000 0.5000
I 0.5000 0.0000 0.5000

Calculated values
Formation energy without anion corrections: -1.19 eV per atom
Size of the total moment: 0.000 μB/atom

---

4.
This record from Alexandria describes a relaxed CsBaAl2Te crystal. The functional is GGA-PBEsol.

Unit cell a=5.6944 b=5.6944 c=6.5933 alpha=90.00 beta=90.00 gamma=90.00
Atoms (fractional coordinates):
Cs 0.0000 0.0000 0.0000
Ba 0.5000 0.5000 0.5000
Al 0.0000 0.5000 0.0000
Al 0.5000 0.0000 0.0000
Te 0.0000 0.0000 0.5000

Calculated values
Formation energy without anion corrections: 0.66 eV per atom
Size of the total moment: 0.000 μB/atom

---

5.
This record from Alexandria describes a relaxed K2PRh crystal. The functional is GGA-PBEsol.

Unit cell a=3.2311 b=3.2311 c=9.8258 alpha=90.00 beta=90.00 gamma=90.00
Atoms (fractional coordinates):
K 0.0000 0.0000 0.0000
K 0.5000 0.5000 0.4299
P 0.0000 0.0000 0.6684
Rh 0.5000 0.5000 0.7501

Calculated values
Formation energy from the elements: -0.54 eV/f.u.
Size of the total moment: 0.000 μB/atom

---

6.
This record from Alexandria describes a relaxed MnZn2Br crystal. The functional is GGA-PBEsol.

Unit cell a=4.7866 b=4.7866 c=4.7866 alpha=60.00 beta=60.00 gamma=60.00
Atoms (fractional coordinates):
Mn 0.0000 0.0000 0.0000
Zn 0.2500 0.2500 0.2500
Zn 0.7500 0.7500 0.7500
Br 0.5000 0.5000 0.5000

Calculated values
Formation energy without anion corrections: 0.74 eV per atom
Size of the total moment: 1.184 μB/atom

---

7.
This record from Alexandria describes a relaxed KCdIr2 crystal. The functional is GGA-PBEsol.

Unit cell a=10.1786 b=10.1786 c=10.1786 alpha=16.00 beta=16.00 gamma=16.00
Atoms (fractional coordinates):
K 0.0000 0.0000 0.0000
Cd 0.5000 0.5000 0.5000
Ir 0.2418 0.2418 0.2418
Ir 0.7582 0.7582 0.7582

Calculated values
Formation energy from the elements: 2.26 eV/f.u.
Size of the total moment: 0.000 μB/atom

---

8.
This record from Alexandria describes a relaxed KOsW crystal. The functional is GGA-PBEsol.

Unit cell a=8.4671 b=8.2778 c=2.7403 alpha=84.51 beta=76.70 gamma=18.79
Atoms (fractional coordinates):
K 0.0000 0.0000 0.0000
Os 0.3249 0.3249 0.6751
W 0.6939 0.6939 0.3061

Calculated values
Formation energy from the elements: 3.13 eV/f.u.
Size of the total moment: 0.000 μB/atom

---

9.
This record from Alexandria describes a relaxed Sc2BOs crystal. The functional is GGA-PBEsol.

Unit cell a=9.0371 b=9.0371 c=9.0371 alpha=19.41 beta=19.41 gamma=19.41
Atoms (fractional coordinates):
Sc 0.0911 0.0911 0.0911
Sc 0.9089 0.9089 0.9089
B 0.0000 0.0000 0.0000
Os 0.5000 0.5000 0.5000

Calculated values
Formation energy from the elements: 3.33 eV/f.u.
Size of the total moment: 0.000 μB/atom

---

10.
This record from Alexandria describes a relaxed Li7Cd crystal. The functional is GGA-PBEsol.

Unit cell a=5.9266 b=5.9266 c=5.9266 alpha=60.00 beta=60.00 gamma=60.00
Atoms (fractional coordinates):
Li 0.0000 0.0000 0.0000
Li 0.0000 0.0000 0.5000
Li 0.0000 0.5000 0.0000
Li 0.0000 0.5000 0.5000
Li 0.5000 0.0000 0.0000
Li 0.5000 0.0000 0.5000
Li 0.5000 0.5000 0.0000
Cd 0.5000 0.5000 0.5000

Calculated values
Formation energy from the elements: -0.67 eV/f.u.
Size of the total moment: 0.000 μB/atom

---

11.
This record from Alexandria describes a relaxed TaFeTc2Ni crystal. The functional is GGA-PBEsol.

Unit cell a=4.3350 b=4.3350 c=4.4343 alpha=90.00 beta=90.00 gamma=90.00
Atoms (fractional coordinates):
Ta 0.0000 0.0000 0.0000
Fe 0.5000 0.5000 0.0000
Tc 0.0000 0.5000 0.5000
Tc 0.5000 0.0000 0.5000
Ni 0.0000 0.0000 0.5000

Calculated values
Formation energy from the elements: 7.36 eV/f.u.
Size of the total moment: 0.563 μB/atom

---

12.
This record from Alexandria describes a relaxed RbSnGe3 crystal. The functional is GGA-PBEsol.

Unit cell a=5.4568 b=5.4568 c=5.4568 alpha=90.00 beta=90.00 gamma=90.00
Atoms (fractional coordinates):
Rb 0.0000 0.0000 0.0000
Sn 0.5000 0.5000 0.5000
Ge 0.0000 0.0000 0.5000
Ge 0.0000 0.5000 0.0000
Ge 0.5000 0.0000 0.0000

Calculated values
Formation energy from the elements: 8.09 eV/f.u.
Size of the total moment: 0.000 μB/atom